The following is a PBE with a Hubbard U calculation of a relaxed RbFeBr2F crystal, from Alexandria via LeMat-Bulk.

Calculated values
- ρ (kg/m³) = 4216
- spin magnetization (μB/f.u.) = 3.98
- DOS(E_F) (states/eV per cell) = 0.0
- uncorrected energy (eV for the cell shown) = -20.0

Cell: 5.5570 5.5570 4.0831 Å, 90.00 90.00 90.00°
Closest atoms and distances in Å follow each position.
Space group P4/mmm (No. 123)
One atom of each set of equivalent atoms:
Rb (0.0000, 0.0000, 0.0000) x1  8 Br 3.45
Fe (0.5000, 0.5000, 0.5000) x1  2 F 2.04
Br (0.0000, 0.5000, 0.5000) x2  2 Fe 2.78
F (0.5000, 0.5000, 0.0000) x1  2 Fe 2.04